No. 1
Material: PmBeN
Method: DFT, PBE
State: relaxed

Summary:
Symmetry: P2_1/m, No. 11
Magnetization, μB/atom: 0.0000
E above lowest polymorph, eV/atom: 0.000
DOS at the Fermi energy, states/eV per cell: 1.952
E_form (uncorrected), eV per atom: -1.00

Structure (POSCAR):
```
PmBeN
1.0
0.604 -2.025 2.928
-0.964 -3.024 -1.892
6.688 -1.857 -0.442
Pm N Be
2 2 2
Direct
0.345 0.750 0.811
0.655 0.250 0.189
0.835 0.250 0.831
0.165 0.750 0.169
0.048 0.750 0.403
0.952 0.250 0.597
```

No. 2
Material: PmBeN
Method: DFT, PBE
State: relaxed

Summary:
Symmetry: I4mm, No. 107
Magnetization, μB/atom: 0.0000
E above lowest polymorph, eV/atom: 1.253
DOS at the Fermi energy, states/eV per cell: 2.102
E_form (uncorrected), eV per atom: 0.25

Structure (POSCAR):
```
PmBeN
1.0
2.927 0.000 0.000
0.000 2.927 0.000
-1.464 -1.464 4.624
Pm Be N
1 1 1
Direct
0.289 0.289 0.578
0.009 0.009 0.017
0.552 0.552 0.105
```

No. 3
Material: PmBeN
Method: DFT, PBE
State: relaxed

Summary:
Symmetry: C2/m, No. 12
Magnetization, μB/atom: 0.0000
E above lowest polymorph, eV/atom: 0.071
DOS at the Fermi energy, states/eV per cell: 1.998
E_form (uncorrected), eV per atom: -0.93

Structure (POSCAR):
```
PmBeN
1.0
-3.222 0.366 1.646
-0.489 -3.591 -0.298
3.499 -1.607 5.787
N Be Pm
2 2 2
Direct
0.721 0.279 0.832
0.279 0.721 0.168
0.332 0.668 0.397
0.668 0.332 0.603
0.213 0.787 0.818
0.787 0.213 0.182
```

No. 4
Material: PmPuBeN3
Method: DFT, PBE
State: relaxed

Summary:
Symmetry: P2_1/m, No. 11
Magnetization, μB/atom: 0.6612
DOS at the Fermi energy, states/eV per cell: 14.350
E_form (uncorrected), eV per atom: -1.18

Structure (POSCAR):
```
PmPuBeN3
1.0
-1.712 -2.700 0.982
2.612 0.747 6.605
-5.728 3.827 0.537
Be Pm N Pu
2 2 6 2
Direct
0.250 0.076 0.596
0.750 0.924 0.404
0.750 0.829 0.787
0.250 0.171 0.213
0.750 0.159 0.507
0.250 0.841 0.493
0.250 0.580 0.855
0.750 0.879 0.153
0.250 0.121 0.847
0.750 0.420 0.145
0.750 0.343 0.818
0.250 0.657 0.182
```

No. 5
Material: Pm2BeReN5
Method: DFT, PBE
State: relaxed

Summary:
Symmetry: Cmc2_1, No. 36
Magnetization, μB/atom: 0.0000
DOS at the Fermi energy, states/eV per cell: 6.167
E_form (uncorrected), eV per atom: -0.66

Structure (POSCAR):
```
Pm2BeReN5
1.0
3.158 0.000 0.000
-1.579 6.958 0.000
0.000 0.000 9.854
Re N Pm Be
2 10 4 2
Direct
0.797 0.594 0.514
0.203 0.406 0.014
0.497 0.994 0.291
0.697 0.394 0.873
0.703 0.407 0.150
0.056 0.112 0.018
0.297 0.593 0.650
0.659 0.317 0.512
0.944 0.888 0.518
0.341 0.683 0.012
0.303 0.606 0.373
0.503 0.006 0.791
0.886 0.771 0.199
0.879 0.757 0.817
0.121 0.243 0.317
0.114 0.229 0.699
0.456 0.912 0.451
0.544 0.088 0.951
```

No. 6
Material: PmBeRhN
Method: DFT, PBE
State: relaxed

Summary:
Symmetry: P4/nmm, No. 129
Magnetization, μB/atom: 0.0000
DOS at the Fermi energy, states/eV per cell: 3.281
E_form (uncorrected), eV per atom: -0.99

Structure (POSCAR):
```
PmBeRhN
1.0
3.748 0.000 0.000
0.000 3.748 0.000
0.000 0.000 8.137
Be N Pm Rh
2 2 2 2
Direct
0.000 0.500 0.329
0.500 0.000 0.671
0.500 0.000 0.867
0.000 0.500 0.133
0.500 0.000 0.160
0.000 0.500 0.840
0.500 0.500 0.500
0.000 0.000 0.500
```

No. 7
Material: PmBe2SiN4
Method: DFT, PBE
State: relaxed

Summary:
Symmetry: I-42m, No. 121
Magnetization, μB/atom: 0.0413
DOS at the Fermi energy, states/eV per cell: 5.035
E_form (uncorrected), eV per atom: -0.85

Structure (POSCAR):
```
PmBe2SiN4
1.0
-0.188 3.472 3.359
-4.200 2.443 0.719
0.282 -1.215 4.750
Be Si N Pm
2 1 4 1
Direct
0.500 0.250 0.750
0.500 0.750 0.250
0.000 0.500 0.500
0.603 0.543 0.854
0.000 0.457 0.146
0.397 0.146 0.457
0.000 0.854 0.543
0.000 0.000 0.000
```

No. 8
Material: PmSmBeN2
Method: DFT, PBE
State: relaxed

Summary:
Symmetry: Pccm, No. 49
Magnetization, μB/atom: 0.0553
DOS at the Fermi energy, states/eV per cell: 6.160
E_form (uncorrected), eV per atom: -0.85

Structure (POSCAR):
```
PmSmBeN2
1.0
5.101 0.000 0.000
0.000 5.095 0.631
0.000 -0.827 6.674
Be Pm N Sm
2 2 4 2
Direct
0.000 0.000 0.500
0.000 0.000 0.000
0.000 0.500 0.250
0.000 0.500 0.750
0.219 0.215 0.000
0.781 0.785 0.000
0.781 0.215 0.500
0.219 0.785 0.500
0.500 0.000 0.250
0.500 0.000 0.750
```